This record from the Alexandria database describes a geometry-optimized SrRu4Br structure. The functional is GGA-PBE.

a b c (Å): 5.423 5.423 5.423
angles (deg): 60.00 60.00 60.00
Last column: magnetic moment on the atom in μB.
Fractional coordinates of all 6 atoms:
1 Sr 0.750 0.750 0.750  -0.01
2 Ru 0.877 0.374 0.374  1.14
3 Ru 0.374 0.374 0.374  1.14
4 Ru 0.374 0.374 0.877  1.14
5 Ru 0.374 0.877 0.374  1.14
6 Br 0.000 0.000 0.000  0.14

Calculated values
The calculation puts the size of the total moment at 4.9 μB per formula unit.



This record from the Alexandria database describes a geometry-optimized DyRePb2O6 structure. The functional is GGA-PBE.

a b c (Å): 5.858 6.132 8.381
angles (deg): 90.00 90.00 90.00
Last column: magnetic moment on the atom in μB.
Fractional coordinates of all 20 atoms:
1 O 0.247 0.015 0.500  0.01
2 O 0.753 0.015 0.500  0.01
3 O 0.000 0.784 0.764  0.03
4 O 0.742 0.455 0.500  0.03
5 O 0.758 0.545 0.000  0.03
6 O 0.258 0.455 0.500  0.03
7 O 0.500 0.216 0.264  0.03
8 O 0.000 0.784 0.236  0.03
9 O 0.242 0.545 0.000  0.03
10 O 0.747 0.985 0.000  0.01
11 O 0.253 0.985 0.000  0.01
12 O 0.500 0.216 0.736  0.03
13 Re 0.000 0.758 0.000  1.39
14 Re 0.500 0.242 0.500  1.39
15 Pb 0.000 0.191 0.283  0.04
16 Pb 0.500 0.809 0.217  0.04
17 Pb 0.000 0.191 0.717  0.04
18 Pb 0.500 0.809 0.783  0.04
19 Dy 0.000 0.716 0.500  0.06
20 Dy 0.500 0.284 0.000  0.06

Calculated values
The calculation puts the size of the total moment at 2.0 μB per formula unit.



This record from the Alexandria database describes a geometry-optimized TcAuI2 structure. The functional is GGA-PBE.

a b c (Å): 6.736 6.736 7.199
angles (deg): 62.10 62.10 90.00
Fractional coordinates of all 8 atoms:
1 Tc 0.500 0.500 0.000
2 Tc 0.250 0.750 0.500
3 I 0.589 0.125 0.250
4 I 0.161 0.625 0.250
5 I 0.375 0.411 0.750
6 I 0.875 0.839 0.750
7 Au 0.000 0.000 0.000
8 Au 0.750 0.250 0.500

Calculated values
The calculation puts the size of the total moment at 0.0 μB per formula unit.



This record from the Alexandria database describes a geometry-optimized Ag4TeBr3 structure. The functional is GGA-PBE.

a b c (Å): 6.888 6.888 6.888
angles (deg): 112.34 107.71 108.40
Fractional coordinates of all 8 atoms:
1 Ag 0.260 0.691 0.951
2 Ag 0.936 0.712 0.224
3 Ag 0.512 0.288 0.224
4 Ag 0.260 0.309 0.569
5 Br 0.064 0.000 0.064
6 Br 0.568 0.758 0.326
7 Br 0.568 0.242 0.810
8 Te 0.984 0.500 0.484

Calculated values
The calculation puts the size of the total moment at 0.0 μB per formula unit.



These records have energy relative to the elements, uncorrected values of 0.77, -1.82, 0.73, -0.13 eV/atom, in the order they appear.